No. 1
Computed, not measured: a relaxed structure of TmThNi at the GGA-PBE level of DFT.

Cell lengths 3.759, 3.759, 6.320 Å; angles 90.00, 90.00, 120.00 degrees
Fractional positions:
Th 0.000 0.000 0.068
Ni 0.667 0.333 0.333
Tm 0.333 0.667 0.599

Properties
Calculated formation energy = -0.15 eV per atom
Density of states at the Fermi level = 1.055 states/eV per atom
Space group = No. 156


No. 2
Computed, not measured: a relaxed structure of Dy7TlSe5 at the GGA-PBE level of DFT.

Cell lengths 4.058, 7.040, 24.299 Å; angles 89.99, 90.00, 106.75 degrees
Fractional positions:
Dy 0.094 0.188 0.614
Dy 0.639 0.278 0.464
Se 0.452 0.904 0.640
Dy 0.906 0.812 0.114
Se 0.726 0.451 0.572
Se 0.275 0.550 0.428
Se 0.548 0.097 0.140
Se 0.275 0.550 0.072
Dy 0.182 0.365 0.323
Dy 0.094 0.189 0.886
Dy 0.483 0.966 0.250
Se 0.000 0.001 0.500
Dy 0.362 0.724 0.964
Dy 0.818 0.636 0.677
Se 0.549 0.097 0.360
Se 0.726 0.451 0.928
Dy 0.362 0.723 0.536
Tl 0.193 0.386 0.750
Dy 0.818 0.637 0.823
Se 0.000 0.000 0.000
Dy 0.518 0.035 0.750
Dy 0.906 0.813 0.386
Se 0.452 0.904 0.860
Dy 0.182 0.364 0.177
Dy 0.639 0.277 0.036
Tl 0.808 0.616 0.250

Properties
Raw formation energy = -1.424 eV per atom
Density of states at the Fermi level = 0.585 states/eV per atom
Space group = No. 63


No. 3
Computed, not measured: a relaxed structure of CaTmAlPb at the GGA-PBE level of DFT.

Cell lengths 5.313, 5.313, 5.313 Å; angles 60.00, 60.00, 60.00 degrees
Fractional positions:
Ca 0.500 0.500 0.500
Al 0.750 0.750 0.750
Pb 0.250 0.250 0.250
Tm 0.000 0.000 0.000

Properties
Calculated formation energy = -0.28 eV per atom
Density of states at the Fermi level = 0.527 states/eV per atom
Space group = No. 216